[1]
A plane-wave DFT calculation with PBE was carried out for CeSm2SnC after structural relaxation.

Unit cell a=4.900 b=5.063 c=5.063 alpha=90.00 beta=90.00 gamma=90.00
Sites, in units of the cell vectors:
Ce: 0.500 0.000 0.000
Sm: 0.000 0.000 0.500
Sm: 0.000 0.500 0.000
Sn: 0.500 0.500 0.500
C: 0.000 0.000 0.000

**Energy**: -6.22 eV/atom
**Density of states at the Fermi level**: 6.18 states/eV/cell
**Crystal system**: tetragonal

[2]
A plane-wave DFT calculation with PBE was carried out for Ce2SmTc2C4 after structural relaxation.

Unit cell a=3.463 b=7.150 c=6.049 alpha=106.50 beta=90.00 gamma=104.01
Sites, in units of the cell vectors:
Ce: 0.867 0.734 0.468
Ce: 0.133 0.266 0.532
Sm: 0.000 0.000 0.000
Tc: 0.318 0.636 0.991
Tc: 0.682 0.364 0.009
C: 0.774 0.548 0.781
C: 0.226 0.452 0.219
C: 0.444 0.888 0.250
C: 0.556 0.112 0.750

**Energy**: -8.29 eV/atom
**Density of states at the Fermi level**: 5.59 states/eV/cell
**Crystal system**: monoclinic

[3]
A plane-wave DFT calculation with PBE was carried out for CeSm2TlC after structural relaxation.

Unit cell a=4.905 b=5.097 c=5.097 alpha=90.00 beta=90.00 gamma=90.00
Sites, in units of the cell vectors:
Ce: 0.500 0.000 0.000
Sm: 0.000 0.000 0.500
Sm: 0.000 0.500 0.000
Tl: 0.500 0.500 0.500
C: 0.000 0.000 0.000

**Energy**: -5.71 eV/atom
**Density of states at the Fermi level**: 5.44 states/eV/cell
**Crystal system**: tetragonal

[4]
A plane-wave DFT calculation with PBE was carried out for Ce2SmW2C4 after structural relaxation.

Unit cell a=3.450 b=8.510 c=5.766 alpha=93.22 beta=90.00 gamma=101.69
Sites, in units of the cell vectors:
Ce: 0.844 0.688 0.423
Ce: 0.156 0.312 0.577
Sm: 0.000 0.000 0.000
W: 0.313 0.625 0.939
W: 0.687 0.375 0.061
C: 0.763 0.527 0.775
C: 0.237 0.473 0.225
C: 0.408 0.817 0.156
C: 0.592 0.183 0.844

**Energy**: -8.85 eV/atom
**Density of states at the Fermi level**: 8.89 states/eV/cell
**Crystal system**: monoclinic

[5]
A plane-wave DFT calculation with PBE was carried out for Ce3SnC after structural relaxation.

Unit cell a=5.843 b=5.843 c=5.843 alpha=90.00 beta=90.00 gamma=90.00
Sites, in units of the cell vectors:
Ce: 0.500 0.500 0.000
Ce: 0.500 0.000 0.500
Ce: 0.000 0.500 0.500
Sn: 0.500 0.500 0.500
C: 0.000 0.000 0.000

**Energy**: -4.56 eV/atom
**Density of states at the Fermi level**: 23.23 states/eV/cell
**Crystal system**: cubic

[6]
A plane-wave DFT calculation with PBE was carried out for Ce3SnC after structural relaxation.

Unit cell a=4.971 b=4.971 c=4.971 alpha=90.00 beta=90.00 gamma=90.00
Sites, in units of the cell vectors:
C: 0.000 0.000 0.000
Sn: 0.500 0.500 0.500
Ce: 0.000 0.500 0.000
Ce: 0.000 0.000 0.500
Ce: 0.500 0.000 0.000

**Energy**: -6.69 eV/atom
**Density of states at the Fermi level**: 9.60 states/eV/cell
**Crystal system**: cubic

[7]
A plane-wave DFT calculation with PBE was carried out for Ce4Sn2C after structural relaxation.

Unit cell a=4.902 b=4.902 c=8.854 alpha=106.07 beta=106.07 gamma=90.00
Sites, in units of the cell vectors:
C: 0.000 0.000 0.000
Sn: 0.639 0.639 0.278
Sn: 0.361 0.361 0.722
Ce: 0.840 0.840 0.680
Ce: 0.160 0.160 0.320
Ce: 0.000 0.500 0.000
Ce: 0.500 0.000 0.000

**Energy**: -6.32 eV/atom
**Density of states at the Fermi level**: 16.49 states/eV/cell
**Crystal system**: tetragonal

[8]
A plane-wave DFT calculation with PBE was carried out for Ce7SnC2 after structural relaxation.

Unit cell a=4.960 b=7.539 c=7.539 alpha=117.38 beta=90.00 gamma=90.00
Sites, in units of the cell vectors:
Ce: 0.000 0.693 0.307
Ce: 0.000 0.307 0.693
Ce: 0.500 0.051 0.325
Ce: 0.500 0.949 0.675
Ce: 0.500 0.325 0.051
Ce: 0.500 0.675 0.949
Ce: 0.500 0.500 0.500
Sn: 0.000 0.000 0.000
C: 0.500 0.704 0.296
C: 0.500 0.296 0.704

**Energy**: -6.41 eV/atom
**Density of states at the Fermi level**: 25.30 states/eV/cell
**Crystal system**: orthorhombic

[9]
A plane-wave DFT calculation with PBE was carried out for Ce12Sn5C2 after structural relaxation.

Unit cell a=7.031 b=9.752 c=9.382 alpha=103.51 beta=90.00 gamma=111.13
Sites, in units of the cell vectors:
Ce: 0.000 0.001 0.173
Ce: 0.058 0.712 0.928
Ce: 0.654 0.712 0.928
Ce: 0.041 0.682 0.412
Ce: 0.641 0.682 0.412
Ce: 0.503 0.006 0.811
Ce: 0.497 0.994 0.189
Ce: 0.959 0.318 0.588
Ce: 0.359 0.318 0.588
Ce: 0.942 0.288 0.072
Ce: 0.346 0.288 0.072
Ce: 0.000 0.999 0.827
Sn: 0.323 0.645 0.657
Sn: 0.313 0.626 0.151
Sn: 0.000 0.000 0.500
Sn: 0.687 0.374 0.849
Sn: 0.677 0.355 0.343
C: 0.735 0.000 0.000
C: 0.265 0.000 0.000

**Energy**: -5.97 eV/atom
**Density of states at the Fermi level**: 49.88 states/eV/cell
**Crystal system**: monoclinic

[10]
A plane-wave DFT calculation with PBE was carried out for CeSnC after structural relaxation.

Unit cell a=2.999 b=3.487 c=11.782 alpha=81.49 beta=90.00 gamma=90.00
Sites, in units of the cell vectors:
Ce: 0.250 0.933 0.134
Ce: 0.750 0.067 0.866
Sn: 0.250 0.198 0.605
Sn: 0.750 0.802 0.395
C: 0.250 0.515 0.969
C: 0.750 0.485 0.031

**Energy**: -6.37 eV/atom
**Density of states at the Fermi level**: 7.52 states/eV/cell
**Crystal system**: orthorhombic

[11]
A plane-wave DFT calculation with PBE was carried out for Ce4Sn2C after structural relaxation.

Unit cell a=4.802 b=5.004 c=7.869 alpha=108.54 beta=90.00 gamma=90.00
Sites, in units of the cell vectors:
C: 0.000 0.000 0.000
Sn: 0.500 0.345 0.690
Sn: 0.500 0.655 0.310
Ce: 0.000 0.500 0.000
Ce: 0.500 0.000 0.000
Ce: 0.000 0.170 0.340
Ce: 0.000 0.830 0.660

**Energy**: -6.34 eV/atom
**Density of states at the Fermi level**: 15.75 states/eV/cell
**Crystal system**: orthorhombic

[12]
A plane-wave DFT calculation with PBE was carried out for Ce6Sn2C after structural relaxation.

Unit cell a=6.867 b=6.865 c=9.728 alpha=90.00 beta=90.02 gamma=90.00
Sites, in units of the cell vectors:
Ce: 0.000 0.000 0.248
Ce: 0.747 0.747 0.500
Ce: 0.753 0.753 0.000
Ce: 0.747 0.253 0.500
Ce: 0.753 0.247 0.000
Ce: 0.500 0.500 0.252
Ce: 0.000 0.000 0.752
Ce: 0.253 0.253 0.500
Ce: 0.247 0.247 0.000
Ce: 0.253 0.747 0.500
Ce: 0.247 0.753 0.000
Ce: 0.500 0.500 0.748
Sn: 0.000 0.500 0.750
Sn: 0.500 0.000 0.750
Sn: 0.500 0.000 0.250
Sn: 0.000 0.500 0.250
C: 0.500 0.500 0.000
C: 0.000 0.000 0.500

**Energy**: -6.31 eV/atom
**Density of states at the Fermi level**: 46.30 states/eV/cell
**Crystal system**: tetragonal

[13]
A plane-wave DFT calculation with PBE was carried out for Ce8SnC2 after structural relaxation.

Unit cell a=5.181 b=7.331 c=7.331 alpha=113.40 beta=96.13 gamma=96.13
Sites, in units of the cell vectors:
Ce: 0.959 0.954 0.683
Ce: 0.959 0.683 0.954
Ce: 0.283 0.588 0.588
Ce: 0.500 0.728 0.272
Ce: 0.500 0.272 0.728
Ce: 0.717 0.412 0.412
Ce: 0.041 0.317 0.046
Ce: 0.041 0.046 0.317
Sn: 0.500 0.000 0.000
C: 0.000 0.320 0.680
C: 0.000 0.680 0.320

**Energy**: -6.43 eV/atom
**Density of states at the Fermi level**: 26.68 states/eV/cell
**Crystal system**: monoclinic

[14]
A plane-wave DFT calculation with PBE was carried out for Ce7Sn3C2 after structural relaxation.

Unit cell a=4.865 b=4.984 c=12.646 alpha=101.36 beta=90.00 gamma=90.00
Sites, in units of the cell vectors:
Ce: 0.000 0.399 0.799
Ce: 0.000 0.797 0.594
Ce: 0.000 0.000 0.000
Ce: 0.000 0.601 0.201
Ce: 0.500 0.095 0.190
Ce: 0.500 0.905 0.810
Ce: 0.000 0.203 0.406
Sn: 0.500 0.500 0.000
Sn: 0.500 0.692 0.384
Sn: 0.500 0.308 0.616
C: 0.000 0.896 0.791
C: 0.000 0.104 0.209

**Energy**: -6.49 eV/atom
**Density of states at the Fermi level**: 24.62 states/eV/cell
**Crystal system**: orthorhombic

[15]
A plane-wave DFT calculation with PBE was carried out for Ce4Sn2C after structural relaxation.

Unit cell a=3.430 b=9.094 c=6.208 alpha=109.92 beta=90.00 gamma=90.00
Sites, in units of the cell vectors:
Ce: 0.500 0.071 0.797
Ce: 0.000 0.389 0.230
Ce: 0.500 0.072 0.346
Ce: 0.000 0.754 0.913
Sn: 0.500 0.413 0.743
Sn: 0.500 0.729 0.400
C: 0.000 0.071 0.071

**Energy**: -6.17 eV/atom
**Density of states at the Fermi level**: 17.04 states/eV/cell
**Crystal system**: orthorhombic

[16]
A plane-wave DFT calculation with PBE was carried out for Ce4SnC2 after structural relaxation.

Unit cell a=7.590 b=7.590 c=7.586 alpha=110.18 beta=110.18 gamma=108.09
Sites, in units of the cell vectors:
Ce: 0.906 0.249 0.343
Ce: 0.344 0.501 0.157
Ce: 0.906 0.563 0.657
Ce: 0.751 0.094 0.657
Ce: 0.437 0.094 0.343
Ce: 0.344 0.187 0.843
Ce: 0.499 0.656 0.843
Ce: 0.813 0.656 0.157
Sn: 0.250 0.750 0.500
Sn: 0.000 0.000 0.000
C: 0.625 0.375 0.750
C: 0.625 0.875 0.250
C: 0.625 0.375 0.250
C: 0.125 0.375 0.750

**Energy**: -6.79 eV/atom
**Density of states at the Fermi level**: 24.44 states/eV/cell
**Crystal system**: tetragonal

[17]
A plane-wave DFT calculation with PBE was carried out for Ce6Sn2C after structural relaxation.

Unit cell a=6.147 b=9.141 c=8.736 alpha=90.00 beta=100.85 gamma=90.00
Sites, in units of the cell vectors:
Ce: 0.878 0.951 0.212
Ce: 0.831 0.761 0.539
Ce: 0.866 0.621 0.978
Ce: 0.634 0.121 0.522
Ce: 0.669 0.261 0.961
Ce: 0.622 0.451 0.288
Ce: 0.122 0.049 0.788
Ce: 0.169 0.239 0.461
Ce: 0.134 0.379 0.022
Ce: 0.366 0.879 0.478
Ce: 0.331 0.739 0.039
Ce: 0.378 0.549 0.712
Sn: 0.865 0.413 0.670
Sn: 0.635 0.913 0.830
Sn: 0.365 0.087 0.170
Sn: 0.135 0.587 0.330
C: 0.500 0.500 0.000
C: 0.000 0.000 0.500

**Energy**: -6.22 eV/atom
**Density of states at the Fermi level**: 53.31 states/eV/cell
**Crystal system**: monoclinic

[18]
A plane-wave DFT calculation with PBE was carried out for Tb2CeSnC after structural relaxation.

Unit cell a=4.901 b=4.960 c=4.960 alpha=90.00 beta=90.00 gamma=90.00
Sites, in units of the cell vectors:
Tb: 0.000 0.000 0.500
Tb: 0.000 0.500 0.000
Ce: 0.500 0.000 0.000
Sn: 0.500 0.500 0.500
C: 0.000 0.000 0.000

**Energy**: -6.22 eV/atom
**Density of states at the Fermi level**: 5.92 states/eV/cell
**Crystal system**: tetragonal

[19]
A plane-wave DFT calculation with PBE was carried out for Ce2TmSnC after structural relaxation.

Unit cell a=4.877 b=4.956 c=4.956 alpha=90.00 beta=90.00 gamma=90.00
Sites, in units of the cell vectors:
Ce: 0.000 0.000 0.500
Ce: 0.000 0.500 0.000
Tm: 0.500 0.000 0.000
Sn: 0.500 0.500 0.500
C: 0.000 0.000 0.000

**Energy**: -6.41 eV/atom
**Density of states at the Fermi level**: 8.93 states/eV/cell
**Crystal system**: tetragonal

[20]
A plane-wave DFT calculation with PBE was carried out for CeTm2SnC after structural relaxation.

Unit cell a=4.908 b=4.854 c=4.854 alpha=90.00 beta=90.00 gamma=90.00
Sites, in units of the cell vectors:
Ce: 0.500 0.000 0.000
Tm: 0.000 0.000 0.500
Tm: 0.000 0.500 0.000
Sn: 0.500 0.500 0.500
C: 0.000 0.000 0.000

**Energy**: -6.17 eV/atom
**Density of states at the Fermi level**: 6.23 states/eV/cell
**Crystal system**: tetragonal

[21]
A plane-wave DFT calculation with PBE was carried out for Ce2YSnC after structural relaxation.

Unit cell a=4.968 b=4.951 c=4.951 alpha=90.00 beta=90.00 gamma=90.00
Sites, in units of the cell vectors:
Ce: 0.000 0.000 0.500
Ce: 0.000 0.500 0.000
Y: 0.500 0.000 0.000
Sn: 0.500 0.500 0.500
C: 0.000 0.000 0.000

**Energy**: -6.82 eV/atom
**Density of states at the Fermi level**: 9.15 states/eV/cell
**Crystal system**: tetragonal

[22]
A plane-wave DFT calculation with PBE was carried out for CeY2SnC after structural relaxation.

Unit cell a=4.916 b=4.940 c=4.940 alpha=90.00 beta=90.00 gamma=90.00
Sites, in units of the cell vectors:
Ce: 0.500 0.000 0.000
Y: 0.000 0.000 0.500
Y: 0.000 0.500 0.000
Sn: 0.500 0.500 0.500
C: 0.000 0.000 0.000

**Energy**: -6.98 eV/atom
**Density of states at the Fermi level**: 6.41 states/eV/cell
**Crystal system**: tetragonal

[23]
A plane-wave DFT calculation with PBE was carried out for SrCe2C after structural relaxation.

Unit cell a=3.623 b=3.623 c=10.422 alpha=79.99 beta=79.99 gamma=60.00
Sites, in units of the cell vectors:
Sr: 0.000 0.000 0.000
C: 0.500 0.500 0.500
Ce: 0.121 0.121 0.637
Ce: 0.879 0.879 0.363

**Energy**: -5.65 eV/atom
**Density of states at the Fermi level**: 9.32 states/eV/cell
**Crystal system**: trigonal

[24]
A plane-wave DFT calculation with PBE was carried out for CeTa2C after structural relaxation.

Unit cell a=3.104 b=3.104 c=8.698 alpha=79.72 beta=79.72 gamma=60.00
Sites, in units of the cell vectors:
C: 0.500 0.500 0.500
Ce: 0.000 0.000 0.000
Ta: 0.118 0.118 0.645
Ta: 0.882 0.882 0.355

**Energy**: -9.73 eV/atom
**Density of states at the Fermi level**: 6.46 states/eV/cell
**Crystal system**: trigonal